An optimized crystal structure of MnCr4F12. Source: the Alexandria database, functional GGA+U.

## Properties
Symmetry: No. 71
Electronic total energy in Ry/atom: -0.4516

a = 6.768 Å, b = 6.768 Å, c = 6.768 Å
α = 108.85°, β = 112.47°, γ = 107.14°
Each line ends with the local moment (μB).
Positions (direct):
Mn (0.000, 0.500, 0.500)  4.72
Cr (0.500, 0.000, 0.000)  3.42
Cr (0.000, 0.500, 0.000)  3.42
Cr (0.000, 0.000, 0.500)  3.42
Cr (0.500, 0.500, 0.500)  3.42
F (0.183, 0.729, 0.913)  0.00
F (0.057, 0.738, 0.319)  0.00
F (0.419, 0.738, 0.681)  0.00
F (0.299, 0.102, 0.804)  0.00
F (0.701, 0.505, 0.804)  0.00
F (0.183, 0.271, 0.454)  0.00
F (0.817, 0.729, 0.546)  0.00
F (0.701, 0.898, 0.196)  0.00
F (0.299, 0.495, 0.196)  0.00
F (0.581, 0.262, 0.319)  0.00
F (0.943, 0.262, 0.681)  0.00
F (0.817, 0.271, 0.087)  0.00